Record 1
ZrCd2Hg: optimized geometry, PBE-GGA.

## Properties
calculated formation energy: -7 kJ/mol of formula units
DOS at the Fermi energy: 2.6 states/eV per cell
magnetic moment: 0.00 μB/f.u.

```
4
Lattice="3.051 -5.269 0.000 3.051 5.269 0.000 -1.088 0.000 2.738" Properties=species:S:1:pos:R:3 pbc="T T T"
Zr 0.000 0.000 0.000
Cd 0.981 2.635 1.369
Cd 0.981 -2.635 1.369
Hg 3.051 0.000 0.000
```

=====

Record 2
Sm6CuNi2Br3: optimized geometry, PBE-GGA.

## Properties
energy relative to the elements, uncorrected: -0.750 eV/atom
DOS at the Fermi energy: 9.7 states/eV per cell
magnetic moment: 0.00 μB/f.u.

```
12
Lattice="3.517 -6.087 0.000 3.517 6.087 0.000 -2.346 0.000 7.607" Properties=species:S:1:pos:R:3 pbc="T T T"
Sm -0.046 2.104 6.103
Sm 1.085 0.000 1.497
Sm -0.046 -2.104 6.103
Sm 4.733 2.104 1.504
Sm 3.603 0.000 6.110
Sm 4.733 -2.104 1.504
Cu 3.517 0.000 0.000
Ni 3.517 4.055 0.000
Ni 3.517 -4.055 0.000
Br -1.173 0.000 3.803
Br 2.344 2.015 3.803
Br 2.344 -2.015 3.803
```

=====

Record 3
La4AgPd: optimized geometry, PBE-GGA.

## Properties
calculated formation energy: -193 kJ/mol of formula units
DOS at the Fermi energy: 18.9 states/eV per cell
ΔE to the lowest computed polymorph: 0 meV/atom
magnetic moment: 0.00 μB/f.u.

```
12
Lattice="7.480 0.000 0.000 0.000 7.480 0.000 0.000 0.000 6.480" Properties=species:S:1:pos:R:3 pbc="T T T"
La 1.199 2.414 0.000
La 1.199 5.066 3.240
La 2.414 1.199 3.240
La 2.414 6.281 0.000
La 5.066 1.199 0.000
La 5.066 6.281 3.240
La 6.281 2.414 3.240
La 6.281 5.066 0.000
Ag 3.740 3.740 1.620
Ag 3.740 3.740 4.860
Pd 0.000 0.000 1.620
Pd 0.000 0.000 4.860
```

=====

Record 4
Nd2EuSc: optimized geometry, PBE-GGA.

## Properties
calculated formation energy: 22 kJ/mol of formula units
DOS at the Fermi energy: 5.1 states/eV per cell
ΔE to the lowest computed polymorph: 0 meV/atom
magnetic moment: 7.04 μB/f.u.

```
4
Lattice="3.697 0.000 0.000 0.000 3.697 0.000 0.000 0.000 9.813" Properties=species:S:1:pos:R:3 pbc="T T T"
Nd 0.000 0.000 2.175
Nd 0.000 0.000 7.637
Eu 1.849 1.849 4.906
Sc 1.849 1.849 0.000
```

=====

Record 5
Cs2RuBr6N: optimized geometry, PBE-GGA.

## Properties
energy relative to the elements, uncorrected: -0.376 eV/atom
DOS at the Fermi energy: 17.7 states/eV per cell
magnetic moment: 5.00 μB/f.u.

```
10
Lattice="0.000 5.572 5.572 5.572 0.000 5.572 5.572 5.572 0.000" Properties=species:S:1:pos:R:3 pbc="T T T"
Cs 2.786 2.786 2.786
Cs 8.358 8.358 8.358
Ru 0.000 0.000 0.000
Br 5.572 5.572 2.517
Br 5.572 2.517 5.572
Br 8.626 5.572 5.572
Br 2.517 5.572 5.572
Br 5.572 8.626 5.572
Br 5.572 5.572 8.626
N 5.572 5.572 5.572
```

=====

Record 6
CsTmHg2Cl8: optimized geometry, PBE-GGA.

## Properties
energy relative to the elements, uncorrected: -1.373 eV/atom
DOS at the Fermi energy: 0.0 states/eV per cell
magnetic moment: 0.00 μB/f.u.

```
12
Lattice="6.647 0.000 0.000 -1.135 7.010 0.000 -0.994 -3.432 8.695" Properties=species:S:1:pos:R:3 pbc="T T T"
Cs 0.000 0.000 0.000
Tm -1.065 1.789 4.347
Hg 1.947 -0.483 6.685
Hg 2.570 4.062 2.010
Cl -0.024 2.884 2.215
Cl -0.110 3.632 5.843
Cl 1.171 0.270 4.547
Cl 1.127 1.737 8.646
Cl 3.391 1.842 0.048
Cl 3.346 3.308 4.148
Cl 4.627 -0.054 2.852
Cl 4.542 0.694 6.479
```

=====

Record 7
NdDyEr: optimized geometry, PBE-GGA.

## Properties
calculated formation energy: 7 kJ/mol of formula units
DOS at the Fermi energy: 4.1 states/eV per cell
ΔE to the lowest computed polymorph: 11 meV/atom
magnetic moment: 0.00 μB/f.u.

```
3
Lattice="-1.789 1.789 7.585 1.789 -1.789 7.585 1.789 1.789 -7.585" Properties=species:S:1:pos:R:3 pbc="T T T"
Nd 0.000 0.000 0.000
Dy 0.000 0.000 10.153
Er 0.000 0.000 5.037
```

=====

Record 8
Er3Tm8In4: optimized geometry, PBE-GGA.

## Properties
calculated formation energy: 139 kJ/mol of formula units
DOS at the Fermi energy: 19.4 states/eV per cell
magnetic moment: 0.00 μB/f.u.

```
15
Lattice="6.378 -6.314 0.000 6.378 6.314 0.000 -3.275 0.000 5.628" Properties=species:S:1:pos:R:3 pbc="T T T"
Er 0.000 0.000 0.000
Er 1.552 3.157 2.814
Er 1.552 -3.157 2.814
Tm 3.307 0.000 0.054
Tm 6.378 3.001 0.000
Tm 1.752 0.000 2.920
Tm 4.741 1.769 2.814
Tm 4.741 -1.769 2.814
Tm 7.730 0.000 2.707
Tm 6.378 -3.001 0.000
Tm 6.175 0.000 5.574
In -1.637 0.000 2.814
In 3.189 3.157 0.000
In 3.189 -3.157 0.000
In 6.378 0.000 0.000
```

=====

Record 9
CsBiSbPt2: optimized geometry, PBE-GGA.

## Properties
energy relative to the elements, uncorrected: -0.406 eV/atom
DOS at the Fermi energy: 1.6 states/eV per cell
ΔE to the lowest computed polymorph: 0 meV/atom
magnetic moment: 0.00 μB/f.u.

```
10
Lattice="7.211 0.000 0.000 0.000 4.663 0.000 -2.504 0.000 10.142" Properties=species:S:1:pos:R:3 pbc="T T T"
Cs -0.304 1.166 2.754
Cs 5.012 3.497 7.387
Bi 2.510 3.497 0.620
Bi 2.198 1.166 9.522
Sb 1.184 3.497 5.543
Sb 3.523 1.166 4.599
Pt 1.755 1.166 6.638
Pt 1.403 3.497 8.291
Pt 3.304 1.166 1.851
Pt 2.952 3.497 3.503
```

=====

Record 10
ReTeRu2: optimized geometry, PBE-GGA.

## Properties
energy relative to the elements, uncorrected: 0.775 eV/atom
DOS at the Fermi energy: 12.3 states/eV per cell
magnetic moment: 0.00 μB/f.u.

```
8
Lattice="-2.855 2.855 5.738 2.855 -2.855 5.738 2.855 2.855 -5.738" Properties=species:S:1:pos:R:3 pbc="T T T"
Re 0.000 0.000 0.000
Re 0.000 2.855 2.869
Te 2.855 0.000 2.869
Te 0.000 0.000 5.738
Ru 4.283 1.258 -1.434
Ru 1.258 1.428 1.434
Ru -1.428 1.597 4.303
Ru 1.597 1.428 7.172
```

=====

Record 11
AgHBr2: optimized geometry, PBE-GGA.

## Properties
DOS at the Fermi energy: 0.0 states/eV per cell
ΔE to the lowest computed polymorph: 317 meV/atom
magnetic moment: 0.00 μB/f.u.

```
8
Lattice="-2.893 2.893 5.166 2.893 -2.893 5.166 2.893 2.893 -5.166" Properties=species:S:1:pos:R:3 pbc="T T T"
Ag 0.000 0.000 0.000
Ag 0.000 2.893 2.583
H 2.893 0.000 2.583
H 0.000 0.000 5.166
Br 1.447 -0.993 3.874
Br 1.901 1.447 1.291
Br 1.447 3.886 -1.291
Br 0.993 1.447 6.457
```

=====

Record 12
CaCuPO2: optimized geometry, PBE-GGA.

## Properties
energy relative to the elements, uncorrected: 0.247 eV/atom
DOS at the Fermi energy: 4.2 states/eV per cell
ΔE to the lowest computed polymorph: 734 meV/atom
magnetic moment: 2.98 μB/f.u.

```
5
Lattice="4.126 0.000 0.000 0.000 4.126 0.000 0.000 0.000 6.292" Properties=species:S:1:pos:R:3 pbc="T T T"
Ca 0.000 0.000 0.000
Cu 2.063 2.063 3.146
P 0.000 0.000 3.146
O 0.000 2.063 0.000
O 2.063 0.000 0.000
```

=====

Record 13
CeSmTh: optimized geometry, PBE-GGA.

## Properties
calculated formation energy: 13 kJ/mol of formula units
DOS at the Fermi energy: 11.9 states/eV per cell
ΔE to the lowest computed polymorph: 0 meV/atom
magnetic moment: 0.00 μB/f.u.

```
6
Lattice="3.068 -1.772 0.000 3.068 1.772 0.000 -2.049 0.000 17.205" Properties=species:S:1:pos:R:3 pbc="T T T"
Ce -0.005 0.000 4.237
Ce 4.093 0.000 12.968
Sm 0.002 0.000 10.116
Sm 4.085 0.000 7.089
Th 2.043 0.000 1.446
Th 2.045 0.000 15.759
```